A:
Below is a crystal of Cd2HgPb relaxed with PBEsol, with properties calculated at the SCAN level.

a = 3.3790 Å, b = 3.3790 Å, c = 29.1189 Å
α = 90.00°, β = 90.00°, γ = 120.00°
Space group R3m (No. 160, hexagonal axes)
Asymmetric unit:
Cd 0.0000 0.0000 0.0000 [3 per cell]
Cd 0.0000 0.0000 0.2564 [3 per cell]
Hg 0.0000 0.0000 0.7444 [3 per cell]
Pb 0.0000 0.0000 0.5010 [3 per cell]

---

B:
Below is a crystal of Cd2HgPb relaxed with PBEsol, with properties calculated at the SCAN level.

a = 3.291 Å, b = 5.410 Å, c = 5.417 Å
α = 90.00°, β = 90.00°, γ = 90.00°
Space group Pmmm (No. 47)
Asymmetric unit:
Cd 0.000 0.000 0.000 [1 per cell]
Cd 0.500 0.500 0.000 [1 per cell]
Hg 0.000 0.500 0.500 [1 per cell]
Pb 0.500 0.000 0.500 [1 per cell]

---

Most stable pick: A. Distance to second place: 31 meV per atom.

---

A:
Below is a crystal of Te2MoBr relaxed with PBEsol, with properties calculated at the SCAN level.

a = 7.061 Å, b = 7.061 Å, c = 7.061 Å
α = 90.00°, β = 90.00°, γ = 90.00°
Space group Fm-3m (No. 225)
Asymmetric unit:
Te 0.250 0.250 0.250 [8 per cell]
Mo 0.000 0.000 0.000 [4 per cell]
Br 0.000 0.000 0.500 [4 per cell]

---

B:
Below is a crystal of Te2MoBr relaxed with PBEsol, with properties calculated at the SCAN level.

a = 10.011 Å, b = 3.395 Å, c = 7.085 Å
α = 90.00°, β = 116.48°, γ = 90.00°
Space group Cm (No. 8)
Asymmetric unit:
Te 0.000 0.000 0.000 [2 per cell]
Te 0.198 0.000 0.741 [2 per cell]
Mo 0.472 0.000 0.684 [2 per cell]
Br 0.325 0.500 0.380 [2 per cell]

---

Most stable pick: B. Distance to second place: 538 meV per atom.

---

A:
Below is a crystal of MgTaNi relaxed with PBEsol, with properties calculated at the SCAN level.

a = 2.823 Å, b = 2.823 Å, c = 11.614 Å
α = 90.00°, β = 90.00°, γ = 90.00°
Space group I4mm (No. 107)
Asymmetric unit:
Mg 0.000 0.000 0.000 [2 per cell]
Ta 0.000 0.000 0.706 [2 per cell]
Ni 0.000 0.000 0.348 [2 per cell]

---

B:
Below is a crystal of MgTaNi relaxed with PBEsol, with properties calculated at the SCAN level.

a = 4.3694 Å, b = 4.3694 Å, c = 2.7297 Å
α = 90.00°, β = 90.00°, γ = 120.00°
Space group P3m1 (No. 156)
Asymmetric unit:
Mg 0.0000 0.0000 0.0000 [1 per cell]
Ta 0.3333 0.6667 0.5500 [1 per cell]
Ni 0.6667 0.3333 0.2661 [1 per cell]

---

Most stable pick: A. Distance to second place: 144 meV per atom.